Density functional theory data (PBE) for a geometry-optimized As3IrN structure.

Unit cell a=4.2282 b=4.2282 c=4.2282 alpha=90.00 beta=90.00 gamma=90.00
Closest atoms and distances in Å follow each position.
Space group Pm-3m (No. 221)
Unique sites:
1 As 0.0000 0.0000 0.5000  2 N 2.11
2 Ir 0.5000 0.5000 0.5000  12 As 2.99
3 N 0.0000 0.0000 0.0000  6 As 2.11

Calculated values
Crystal system: cubic
ΔE_f (raw) in eV/f.u.: 4.0
Theoretical density in g/cm³: 9.47
DFT total energy in eV/f.u.: -27.17
Energy above the most stable polymorph in this dataset in eV/f.u.: 0.00

***

Density functional theory data (PBE) for a geometry-optimized As2IrN structure.

Unit cell a=5.3495 b=5.3495 c=9.5166 alpha=90.00 beta=90.00 gamma=90.00
Closest atoms and distances in Å follow each position.
Space group I-42d (No. 122)
Unique sites:
1 As 0.2084 0.2500 0.1250  2 N 2.11
2 Ir 0.0000 0.0000 0.5000  4 As 2.37
3 N 0.0000 0.0000 0.0000  4 As 2.11

Calculated values
Crystal system: tetragonal
ΔE_f (raw) in eV/f.u.: 1.7
Theoretical density in g/cm³: 8.68
DFT total energy in eV/f.u.: -24.76

***

Density functional theory data (PBE) for a geometry-optimized AsIr2OsN structure.

Unit cell a=4.7149 b=4.7149 c=3.6037 alpha=90.00 beta=90.00 gamma=90.00
Closest atoms and distances in Å follow each position.
Space group P4/mmm (No. 123)
Unique sites:
1 As 0.0000 0.0000 0.0000  2 N 1.80
2 Ir 0.0000 0.5000 0.0000  2 As 2.36
3 Os 0.5000 0.5000 0.5000  8 Ir 2.97
4 N 0.0000 0.0000 0.5000  2 As 1.80

Calculated values
Crystal system: tetragonal
ΔE_f (raw) in eV/f.u.: 9.5
Theoretical density in g/cm³: 13.75
DFT total energy in eV/f.u.: -32.40

***

Density functional theory data (PBE) for a geometry-optimized RbAsIr2N structure.

Unit cell a=5.1283 b=5.1283 c=6.3037 alpha=90.00 beta=90.00 gamma=90.00
Closest atoms and distances in Å follow each position.
Space group P4/mmm (No. 123)
Unique sites:
1 Rb 0.0000 0.0000 0.0000  4 Ir 2.56
2 As 0.0000 0.0000 0.5000  2 Rb 3.15
3 Ir 0.0000 0.5000 0.0000  2 Rb 2.56
4 N 0.5000 0.5000 0.5000  4 As 3.63

Calculated values
Crystal system: tetragonal
ΔE_f (raw) in eV/f.u.: 19.3
Theoretical density in g/cm³: 5.60
DFT total energy in eV/f.u.: -12.33

***

Density functional theory data (PBE) for a geometry-optimized As2IrSeN structure.

Unit cell a=4.6731 b=4.6731 c=5.1650 alpha=90.00 beta=90.00 gamma=90.00
Closest atoms and distances in Å follow each position.
Space group P4/mmm (No. 123)
Unique sites:
1 As 0.0000 0.5000 0.0000  2 Ir 2.34
2 Ir 0.0000 0.0000 0.0000  4 As 2.34, 2 Se 2.58
3 Se 0.0000 0.0000 0.5000  2 Ir 2.58
4 N 0.5000 0.5000 0.5000  4 Se 3.30, 8 As 3.48

Calculated values
Crystal system: tetragonal
ΔE_f (raw) in eV/f.u.: 8.5
Theoretical density in g/cm³: 6.40
DFT total energy in eV/f.u.: -21.49
Energy above the most stable polymorph in this dataset in eV/f.u.: 3.91

***

Density functional theory data (PBE) for a geometry-optimized AsIrSe2N structure.

Unit cell a=4.9082 b=4.9082 c=4.7001 alpha=90.00 beta=90.00 gamma=90.00
Closest atoms and distances in Å follow each position.
Space group P4/mmm (No. 123)
Unique sites:
1 As 0.0000 0.0000 0.0000  2 Ir 2.35
2 Ir 0.0000 0.0000 0.5000  2 As 2.35, 4 Se 2.45
3 Se 0.0000 0.5000 0.5000  2 Ir 2.45
4 N 0.5000 0.5000 0.0000  8 Se 3.40, 4 As 3.47

Calculated values
Crystal system: tetragonal
ΔE_f (raw) in eV/f.u.: 8.6
Theoretical density in g/cm³: 6.44
DFT total energy in eV/f.u.: -20.16
Energy above the most stable polymorph in this dataset in eV/f.u.: 6.16

***

DFT total energy of number 2 (As2IrN)? -24.76 eV/f.u.

***

Look up the ΔE_f (raw) of the fourth one. 19.3 eV/f.u.

***

The lowest ΔE_f (raw) belongs to which entry? As2IrN

***

Which of these has the lowest theoretical density? RbAsIr2N